(1)
CuTe4Se (PBE-GGA, relaxed); raw formation energy = 0.748 eV per atom; uncorrected energy = -0.09590 Ha/atom; magnetization = 0.00 μB per formula unit; Fermi-level density of states = 6.268 states/eV/cell
1.0
1.537 -5.865 1.437
-3.845 -4.677 -1.470
1.552 -4.009 -4.510
Te Se Cu
4 1 1
Direct
0.879 0.374 0.374
0.374 0.374 0.879
0.374 0.879 0.374
0.374 0.374 0.374
0.000 0.000 0.000
0.750 0.750 0.750

=====

(2)
GdErGaFe (PBE-GGA, relaxed); uncorrected energy = -0.28384 Ha/atom; magnetization = 5.66 μB per formula unit; E_form = -0.1904 eV/atom; Fermi-level density of states = 6.597 states/eV/cell
1.0
-1.094 3.682 -3.104
-4.507 2.019 0.055
-0.632 4.582 1.730
Ga Gd Fe Er
1 1 1 1
Direct
0.250 0.250 0.250
0.500 0.500 0.500
0.750 0.750 0.750
0.000 0.000 0.000

=====

(3)
CoSb2PW (PBE-GGA, relaxed); raw formation energy = 1.301 eV per atom; uncorrected energy = -0.19997 Ha/atom; magnetization = 1.71 μB per formula unit; Fermi-level density of states = 5.993 states/eV/cell
1.0
-4.602 0.689 -2.330
1.612 -2.059 -3.793
-1.609 -4.604 1.816
W P Sb Co
1 1 2 1
Direct
0.000 0.000 0.000
0.500 0.500 0.500
0.500 0.000 0.000
0.000 0.000 0.500
0.000 0.500 0.000